P) A geometry-optimized Sm4HoEr5 structure, computed with PBE-GGA.

It has space group P-1 (No. 2), with a = 3.5106 Å, b = 8.7136 Å, c = 11.0981 Å, α = 89.96°, β = 89.99° and γ = 78.43°. The asymmetric unit holds Sm at (0.0302, 0.4389, 0.2497), Sm at (0.3452, 0.8104, 0.2499), Ho at (0.5000, 0.5000, 0.5000), Er at (0.1732, 0.1528, 0.0509), Er at (0.1736, 0.1525, 0.4486) and Er at (0.5000, 0.5000, 0.0000).

The total moment comes out at 0.00 μB per formula unit.

Q) A geometry-optimized Sm4HoEr5 structure, computed with PBE-GGA.

It has space group I4mm (No. 107), with a = 10.6189 Å, b = 10.6189 Å, c = 5.8847 Å, α = 90.00°, β = 90.00° and γ = 90.00°. The asymmetric unit holds Sm at (0.0000, 0.3230, 0.0000), Ho at (0.0000, 0.0000, 0.7606), Er at (0.0000, 0.0000, 0.2367) and Er at (0.1889, 0.1889, 0.4986).

The total moment comes out at 0.00 μB per formula unit.

Which of them is the most stable? Correct choice: P).